Crystalline GaCF3 at its relaxed geometry, computed with PBE.

abc: 3.939 3.939 3.939
angles: 90.00 90.00 90.00
Fractional coordinates of all 5 atoms:
C 0.000 0.000 0.000
Ga 0.500 0.500 0.500
F 0.000 0.500 0.000
F 0.000 0.000 0.500
F 0.500 0.000 0.000

Results
M_tot: 0.000 μB per atom
Space-group type: Pm-3m
Distance to the lowest polymorph of the same formula: 154 meV per atom
DOS(E_F): 0.00 states/eV per cell
Energy: -19.13 eV/cell